Record 1
Entry from the Alexandria database: a relaxed structure of U2Pa3N9 (PBE).

Lattice parameters (Å, degrees): 3.8507 3.8507 13.6322 98.12 98.12 90.00
Positions (direct):
U: 0.9451 0.4451 0.8902
U: 0.5549 0.0549 0.1098
Pa: 0.1537 0.6537 0.3074
Pa: 0.3463 0.8463 0.6926
Pa: 0.7500 0.2500 0.5000
N: 0.5986 0.5986 0.1972
N: 0.1937 0.1937 0.3874
N: 0.8063 0.8063 0.6126
N: 0.4014 0.4014 0.8028
N: 0.9177 0.9177 0.8353
N: 0.5000 0.5000 0.0000
N: 0.0823 0.0823 0.1647
N: 0.7016 0.7016 0.4031
N: 0.2984 0.2984 0.5969

Output
Formation energy (no corrections)   -1.459 eV/atom
ρ   10.9 g/cm3

Record 2
Entry from the Alexandria database: a relaxed structure of UPaN4 (PBE).

Lattice parameters (Å, degrees): 3.7970 3.7973 6.5207 73.07 73.07 60.00
Positions (direct):
U: 0.0000 0.0000 0.0000
Pa: 0.5000 0.5000 0.5000
N: 0.6287 0.6288 0.1139
N: 0.3713 0.3712 0.8861
N: 0.1210 0.1210 0.6371
N: 0.8790 0.8790 0.3629

Output
Formation energy (no corrections)   -1.326 eV/atom
ρ   11.4 g/cm3

Record 3
Entry from the Alexandria database: a relaxed structure of U3PaN4 (PBE).

Lattice parameters (Å, degrees): 4.8925 4.8925 4.8925 90.00 90.00 90.00
Site moments in Bohr magnetons follow the coordinates.
Positions (direct):
Pa: 0.0000 0.0000 0.0000  0.08
U: 0.0000 0.5000 0.5000  1.29
U: 0.5000 0.0000 0.5000  1.29
U: 0.5000 0.5000 0.0000  1.29
N: 0.5000 0.0000 0.0000  -0.05
N: 0.0000 0.5000 0.0000  -0.05
N: 0.0000 0.0000 0.5000  -0.05
N: 0.5000 0.5000 0.5000  -0.08

Output
Formation energy (no corrections)   -1.389 eV/atom
ρ   14.2 g/cm3

Record 4
Entry from the Alexandria database: a relaxed structure of UPaN (PBE).

Lattice parameters (Å, degrees): 3.1951 5.5090 11.6171 90.00 90.00 90.00
Site moments in Bohr magnetons follow the coordinates.
Positions (direct):
Pa: 0.7500 0.0884 0.3672  0.09
Pa: 0.2500 0.5884 0.1328  0.09
Pa: 0.7500 0.4116 0.8672  0.09
Pa: 0.2500 0.9116 0.6328  0.09
N: 0.7500 0.7559 0.9963  -0.02
N: 0.2500 0.2441 0.0037  -0.02
N: 0.7500 0.7441 0.4963  -0.02
N: 0.2500 0.2559 0.5037  -0.02
U: 0.7500 0.4211 0.6328  0.78
U: 0.7500 0.0789 0.1328  0.78
U: 0.2500 0.5789 0.3672  0.78
U: 0.2500 0.9211 0.8672  0.78

Output
Energy relative to the lowest polymorph listed for this composition   0.00 kJ/mol of atoms
Formation energy (no corrections)   -0.665 eV/atom
ρ   15.7 g/cm3

Quick rundown of calculated total energy, same order as above: -10.4584; -10.3399; -10.9719; -10.3686 eV per atom